## HfInNiOs (PBE-GGA)

Data for crystalline HfInNiOs at its relaxed geometry.

Unit cell a=4.546 b=4.546 c=4.546 alpha=60.00 beta=60.00 gamma=60.00
Atoms (fractional coordinates):
Ni 0.250 0.250 0.250
Hf 0.000 0.000 0.000
Os 0.750 0.750 0.750
In 0.500 0.500 0.500

Calculated values
DOS(E_F)	0.788	states/eV/atom
crystal system	cubic
final energy	-30.66	eV for the cell shown

## Li2ZrMo (PBE-GGA)

Data for crystalline Li2ZrMo at its relaxed geometry.

Unit cell a=5.248 b=5.248 c=5.401 alpha=67.96 beta=67.96 gamma=30.65
Atoms (fractional coordinates):
Li 0.010 0.010 0.911
Li 0.752 0.752 0.832
Mo 0.491 0.491 0.430
Zr 0.248 0.248 0.327

Calculated values
DOS(E_F)	0.636	states/eV/atom
E above lowest polymorph	154.2	meV per atom
crystal system	monoclinic
final energy	-21.69	eV for the cell shown